# 1
The following is a GGA-PBE calculation of Na3Mg2S2Cl3 after structural relaxation, from Alexandria via LeMat-Bulk.

a = 4.263 Å, b = 4.263 Å, c = 14.109 Å
α = 98.69°, β = 98.69°, γ = 90.00°
Positions (direct):
Na1 0.901 0.901 0.803
Na2 0.500 0.500 0.000
Na3 0.099 0.099 0.197
Mg1 0.750 0.250 0.500
Mg2 0.250 0.750 0.500
S1 0.794 0.794 0.587
S2 0.206 0.206 0.413
Cl1 0.602 0.602 0.204
Cl2 0.398 0.398 0.796
Cl3 0.000 0.000 0.000

Calculated values
- E_form (uncorrected): -1.5380 eV per atom
- Space-group type: I4/mmm

---

# 2
The following is a GGA-PBE calculation of TaPdSe3 after structural relaxation, from Alexandria via LeMat-Bulk.

a = 3.518 Å, b = 6.478 Å, c = 10.835 Å
α = 79.48°, β = 90.00°, γ = 90.00°
Positions (direct):
Ta1 0.750 0.013 0.192
Ta2 0.250 0.987 0.808
Pd1 0.750 0.665 0.747
Pd2 0.250 0.335 0.253
Se1 0.750 0.787 0.962
Se2 0.250 0.213 0.038
Se3 0.750 0.157 0.392
Se4 0.250 0.843 0.608
Se5 0.750 0.272 0.731
Se6 0.250 0.728 0.269

Calculated values
- E_form (uncorrected): -0.5469 eV per atom
- Space-group type: P2_1/m

---

# 3
The following is a GGA-PBE calculation of TaCoAg after structural relaxation, from Alexandria via LeMat-Bulk.

a = 4.177 Å, b = 4.177 Å, c = 4.177 Å
α = 60.00°, β = 60.00°, γ = 60.00°
Positions (direct):
Ag1 0.500 0.500 0.500
Co1 0.750 0.750 0.750
Ta1 0.000 0.000 0.000

Calculated values
- Formation enthalpy at 0 K: 1.6 eV per formula unit
- Space-group type: F-43m

---

# 4
The following is a GGA-PBE calculation of BeCd2Ru after structural relaxation, from Alexandria via LeMat-Bulk.

a = 5.309 Å, b = 5.309 Å, c = 4.498 Å
α = 64.91°, β = 64.91°, γ = 34.38°
Positions (direct):
Ru1 0.458 0.458 0.542
Cd1 0.023 0.023 0.977
Cd2 0.236 0.236 0.263
Be1 0.783 0.783 0.718

Calculated values
- Formation enthalpy at 0 K: 0.8 eV per formula unit
- Space-group type: Imm2

---

# 5
The following is a GGA-PBE calculation of Ga2Pd4Au after structural relaxation, from Alexandria via LeMat-Bulk.

a = 3.734 Å, b = 3.734 Å, c = 9.853 Å
α = 100.92°, β = 100.92°, γ = 90.00°
Positions (direct):
Au1 0.000 0.000 0.000
Pd1 0.139 0.139 0.278
Pd2 0.861 0.861 0.722
Pd3 0.250 0.750 0.500
Pd4 0.750 0.250 0.500
Ga1 0.643 0.643 0.286
Ga2 0.357 0.357 0.714

Calculated values
- Formation enthalpy at 0 K: -0.9 eV per formula unit
- Space-group type: I4/mmm

---

# 6
The following is a GGA-PBE calculation of AcSm8Tl6 after structural relaxation, from Alexandria via LeMat-Bulk.

a = 9.433 Å, b = 9.433 Å, c = 8.519 Å
α = 56.38°, β = 56.38°, γ = 60.00°
Positions (direct):
Ac1 0.000 0.000 0.000
Sm1 0.560 0.221 0.331
Sm2 0.779 0.112 0.669
Sm3 0.112 0.440 0.669
Sm4 0.669 0.669 0.994
Sm5 0.331 0.331 0.006
Sm6 0.888 0.560 0.331
Sm7 0.221 0.888 0.331
Sm8 0.440 0.779 0.669
Tl1 0.406 0.063 0.815
Tl2 0.937 0.283 0.185
Tl3 0.283 0.594 0.185
Tl4 0.717 0.406 0.815
Tl5 0.063 0.717 0.815
Tl6 0.594 0.937 0.185

Calculated values
- Formation enthalpy at 0 K: -2.2 eV per formula unit
- Space-group type: R-3

---

# 7
The following is a GGA-PBE calculation of CdAuI after structural relaxation, from Alexandria via LeMat-Bulk.

a = 3.950 Å, b = 3.950 Å, c = 11.047 Å
α = 90.00°, β = 90.17°, γ = 90.00°
Positions (direct):
I1 0.753 0.250 0.838
I2 0.247 0.750 0.162
Au1 0.250 0.250 0.500
Au2 0.750 0.750 0.500
Cd1 0.748 0.250 0.300
Cd2 0.252 0.750 0.700

Calculated values
- E_form (uncorrected): -0.2292 eV per atom
- Space-group type: P2_1/m

---

# 8
The following is a GGA-PBE calculation of In2Co2B after structural relaxation, from Alexandria via LeMat-Bulk.

a = 4.090 Å, b = 4.090 Å, c = 6.082 Å
α = 70.35°, β = 70.35°, γ = 90.00°
Positions (direct):
B1 0.000 0.000 0.000
Co1 0.401 0.401 0.199
Co2 0.599 0.599 0.801
In1 0.750 0.250 0.500
In2 0.250 0.750 0.500

Calculated values
- Formation enthalpy at 0 K: 6.6 eV per formula unit
- Space-group type: I4/mmm

---

# 9
The following is a GGA-PBE calculation of HfFe5P2 after structural relaxation, from Alexandria via LeMat-Bulk.

a = 3.549 Å, b = 5.624 Å, c = 5.624 Å
α = 70.29°, β = 71.61°, γ = 71.61°
Positions (direct):
Hf1 0.000 0.000 0.000
Fe1 0.000 0.500 0.500
Fe2 0.644 0.545 0.166
Fe3 0.356 0.455 0.834
Fe4 0.356 0.834 0.455
Fe5 0.644 0.166 0.545
P1 0.745 0.755 0.755
P2 0.255 0.245 0.245

Calculated values
- Formation enthalpy at 0 K: -4.0 eV per formula unit
- Space-group type: Immm

---

# 10
The following is a GGA-PBE calculation of Pr2HoTe4 after structural relaxation, from Alexandria via LeMat-Bulk.

a = 8.895 Å, b = 8.832 Å, c = 8.832 Å
α = 60.64°, β = 59.76°, γ = 59.76°
Positions (direct):
Pr1 0.000 0.000 0.000
Pr2 0.000 0.000 0.500
Pr3 0.000 0.500 0.500
Pr4 0.500 0.000 0.500
Ho1 0.500 0.500 0.000
Ho2 0.000 0.500 0.000
Te1 0.261 0.248 0.229
Te2 0.739 0.271 0.252
Te3 0.261 0.729 0.748
Te4 0.739 0.752 0.771
Te5 0.747 0.745 0.245
Te6 0.737 0.255 0.755
Te7 0.263 0.745 0.245
Te8 0.253 0.255 0.755

Calculated values
- E_form (uncorrected): -1.4326 eV per atom
- Space-group type: Imma

---

# 11
The following is a GGA-PBE calculation of Ti2BrN after structural relaxation, from Alexandria via LeMat-Bulk.

a = 5.190 Å, b = 5.190 Å, c = 6.406 Å
α = 66.11°, β = 66.11°, γ = 90.00°
Positions (direct):
N1 0.500 0.500 0.000
N2 0.250 0.750 0.500
Br1 0.000 0.000 0.000
Br2 0.750 0.250 0.500
Ti1 0.515 0.125 0.250
Ti2 0.235 0.625 0.250
Ti3 0.375 0.485 0.750
Ti4 0.875 0.765 0.750

Calculated values
- E_form (uncorrected): -0.6809 eV per atom
- Space-group type: I-42d

---

# 12
The following is a GGA-PBE calculation of Ta6Nb3Fe after structural relaxation, from Alexandria via LeMat-Bulk.

a = 4.647 Å, b = 8.017 Å, c = 9.740 Å
α = 105.34°, β = 90.00°, γ = 90.00°
Positions (direct):
Ta1 0.250 0.450 0.102
Ta2 0.750 0.550 0.898
Ta3 0.250 0.148 0.201
Ta4 0.750 0.852 0.799
Ta5 0.250 0.658 0.693
Ta6 0.750 0.342 0.307
Ta7 0.250 0.235 0.501
Ta8 0.750 0.765 0.499
Ta9 0.250 0.859 0.315
Ta10 0.750 0.141 0.685
Ta11 0.250 0.050 0.891
Ta12 0.750 0.950 0.109
Nb1 0.250 0.547 0.399
Nb2 0.750 0.453 0.601
Nb3 0.250 0.350 0.798
Nb4 0.750 0.650 0.202
Nb5 0.250 0.755 0.003
Nb6 0.750 0.245 0.997
Fe1 0.250 0.952 0.596
Fe2 0.750 0.048 0.404

Calculated values
- Formation enthalpy at 0 K: -0.2 eV per formula unit
- Space-group type: P2_1/m